The following is a GGA-PBE calculation of an optimized crystal structure of NaPrAu2, from Alexandria.

a = 3.740 Å, b = 3.740 Å, c = 7.215 Å
α = 90.00°, β = 90.00°, γ = 90.00°
Sites, in units of the cell vectors:
Na  0.000  0.000  0.000
Pr  0.000  0.000  0.500
Au  0.500  0.500  0.266
Au  0.500  0.500  0.734

Summary:
The calculation puts the theoretical density at 9.2 g/cm³. Its space-group type is P4/mmm, No. 123. The value obtained for the polymorph energy (0 for the lowest one) is 43 meV/atom.